The following is a DFT calculation (GGA-PBEsol) of a geometry-optimized Li4V2SiO8 structure.

Output
Calculated total energy = -7.330 eV/atom
Symmetry = P2_1/c (14)
N(E_F) = 8.6 states/eV/cell
Formation energy from raw total energies = -2.34 eV per atom

Lattice parameters (Å, degrees): 8.182 8.071 10.709 90.00 90.00 103.89
Each line ends with the local moment (μB).
Sites, in units of the cell vectors:
Li 0.600 0.098 0.333  0.00
Li 0.671 0.170 0.836  0.00
Li 0.142 0.156 0.663  0.00
Li 0.459 0.217 0.581  0.00
Li 0.541 0.283 0.081  0.00
Li 0.858 0.344 0.163  0.00
Li 0.329 0.330 0.336  0.00
Li 0.400 0.402 0.833  0.00
Li 0.600 0.598 0.167  0.00
Li 0.671 0.670 0.664  0.00
Li 0.142 0.656 0.837  0.00
Li 0.459 0.717 0.919  0.00
Li 0.541 0.783 0.419  0.00
Li 0.858 0.844 0.337  0.00
Li 0.329 0.830 0.164  0.00
Li 0.400 0.902 0.667  0.00
V 0.764 0.048 0.588  0.90
V 0.295 0.033 0.914  0.92
V 0.705 0.467 0.414  0.92
V 0.764 0.548 0.912  0.90
V 0.236 0.452 0.088  0.90
V 0.295 0.533 0.586  0.92
V 0.705 0.967 0.086  0.92
V 0.236 0.952 0.412  0.90
Si 0.084 0.077 0.164  0.02
Si 0.916 0.423 0.664  0.02
Si 0.084 0.577 0.336  0.02
Si 0.916 0.923 0.836  0.02
O 0.780 0.997 0.920  0.01
O 0.599 0.095 0.666  -0.02
O 0.946 0.240 0.614  0.02
O 0.259 0.017 0.564  -0.03
O 0.666 0.141 0.160  -0.02
O 0.100 0.062 0.834  0.01
O 0.159 0.104 0.307  0.01
O 0.464 0.210 0.914  -0.01
O 0.536 0.290 0.414  -0.01
O 0.841 0.396 0.807  0.01
O 0.900 0.438 0.334  0.01
O 0.334 0.359 0.660  -0.02
O 0.741 0.483 0.064  -0.03
O 0.054 0.260 0.114  0.02
O 0.780 0.497 0.580  0.01
O 0.401 0.405 0.166  -0.02
O 0.599 0.595 0.834  -0.02
O 0.220 0.503 0.420  0.01
O 0.946 0.740 0.886  0.02
O 0.259 0.517 0.936  -0.03
O 0.666 0.641 0.340  -0.02
O 0.100 0.562 0.666  0.01
O 0.159 0.604 0.193  0.01
O 0.464 0.710 0.586  -0.01
O 0.536 0.790 0.086  -0.01
O 0.841 0.896 0.693  0.01
O 0.900 0.938 0.166  0.01
O 0.334 0.859 0.840  -0.02
O 0.741 0.983 0.436  -0.03
O 0.054 0.760 0.386  0.02
O 0.401 0.905 0.334  -0.02
O 0.220 0.003 0.080  0.01

***

The following is a DFT calculation (GGA-PBEsol) of a geometry-optimized LiVSiO4 structure.

Output
Calculated total energy = -7.841 eV/atom
Symmetry = Pc (7)
Offset from the most stable computed form = 101 meV per atom
Formation energy from raw total energies = -2.36 eV per atom

Lattice parameters (Å, degrees): 5.121 8.430 8.532 107.69 90.00 90.00
Each line ends with the local moment (μB).
Sites, in units of the cell vectors:
Li 0.669 0.896 0.015  0.00
Li 0.331 0.396 0.015  0.00
Li 0.173 0.743 0.503  0.00
Li 0.827 0.243 0.503  0.00
V 0.671 0.656 0.255  1.81
V 0.329 0.156 0.255  1.81
V 0.832 0.008 0.752  1.79
V 0.168 0.508 0.752  1.79
Si 0.180 0.772 0.135  0.02
Si 0.820 0.272 0.135  0.02
Si 0.683 0.636 0.631  0.02
Si 0.317 0.136 0.631  0.02
O 0.317 0.939 0.111  0.00
O 0.683 0.439 0.111  0.00
O 0.166 0.973 0.655  0.00
O 0.834 0.473 0.655  0.00
O 0.864 0.800 0.165  0.00
O 0.136 0.300 0.165  0.00
O 0.318 0.729 0.292  0.01
O 0.682 0.229 0.292  0.01
O 0.759 0.799 0.787  0.00
O 0.241 0.299 0.787  0.00
O 0.794 0.679 0.468  0.01
O 0.206 0.179 0.468  0.01
O 0.367 0.602 0.617  0.00
O 0.633 0.102 0.617  0.00
O 0.242 0.612 0.975  0.00
O 0.758 0.112 0.975  0.00

***

The following is a DFT calculation (GGA-PBEsol) of a geometry-optimized LiV2Si2O8 structure.

Output
Calculated total energy = -8.197 eV/atom
Symmetry = Amm2 (38)
N(E_F) = 5.2 states/eV/cell
Offset from the most stable computed form = 10 meV per atom
Formation energy from raw total energies = -2.45 eV per atom

Lattice parameters (Å, degrees): 4.813 4.813 6.159 90.00 90.00 67.37
Each line ends with the local moment (μB).
Sites, in units of the cell vectors:
Li 0.323 0.323 0.534  0.00
V 0.994 0.994 0.791  1.45
V 0.994 0.994 0.277  1.45
Si 0.347 0.347 0.034  0.01
Si 0.649 0.649 0.534  0.01
O 0.230 0.230 0.251  -0.02
O 0.230 0.230 0.817  -0.02
O 0.770 0.770 0.323  -0.04
O 0.769 0.769 0.745  -0.04
O 0.721 0.213 0.034  -0.01
O 0.213 0.721 0.034  -0.01
O 0.770 0.277 0.534  0.00
O 0.277 0.770 0.534  0.00

***

The following is a DFT calculation (GGA-PBEsol) of a geometry-optimized LiVSiO4 structure.

Output
Calculated total energy = -7.811 eV/atom
Symmetry = I-4 (82)
Offset from the most stable computed form = 132 meV per atom
Formation energy from raw total energies = -2.33 eV per atom

Lattice parameters (Å, degrees): 4.792 5.038 4.792 61.60 90.00 118.40
Each line ends with the local moment (μB).
Sites, in units of the cell vectors:
Si 0.000 0.000 0.000  0.02
V 0.750 0.500 0.750  0.00
O 0.061 0.749 0.336  0.00
O 0.916 0.251 0.061  0.00
O 0.687 0.749 0.916  0.00
O 0.336 0.251 0.687  0.00
Li 0.250 0.500 0.250  1.80